Record 1
VASP calculation (PBE) on SrTl3Pd3 after structural relaxation.

Results
SG: No. 176
Excess energy over the best structure of this formula in the dataset (meV per atom): 0

Unit cell a=4.4743 b=9.6235 c=9.6227 alpha=120.01 beta=90.00 gamma=90.00
Last column: nearest neighbours and their distance in Å.
Element x y z (fractional)
Sr (0.7500, 0.3333, 0.6666)  9 Pd 3.23-3.38
Sr (0.2500, 0.6667, 0.3334)  9 Pd 3.23-3.38
Tl (0.7500, 0.7592, 0.0667)  4 Pd 2.79-2.93
Tl (0.7500, 0.3074, 0.2408)  4 Pd 2.79-2.93
Tl (0.7500, 0.9333, 0.6926)  4 Pd 2.79-2.93
Tl (0.2500, 0.2408, 0.9333)  4 Pd 2.79-2.93
Tl (0.2500, 0.6926, 0.7592)  4 Pd 2.79-2.93
Tl (0.2500, 0.0667, 0.3074)  4 Pd 2.79-2.93
Pd (0.7500, 0.9566, 0.4000)  2 Pd 2.79, 4 Tl 2.79-2.93
Pd (0.7500, 0.4434, 0.0434)  2 Pd 2.79, 4 Tl 2.79-2.93
Pd (0.7500, 0.6000, 0.5566)  2 Pd 2.79, 4 Tl 2.79-2.93
Pd (0.2500, 0.0434, 0.6000)  2 Pd 2.79, 4 Tl 2.79-2.93
Pd (0.2500, 0.5566, 0.9566)  2 Pd 2.79, 4 Tl 2.79-2.93
Pd (0.2500, 0.4000, 0.4434)  2 Pd 2.79, 4 Tl 2.79-2.93

***

Record 2
VASP calculation (PBE) on SrTl5Pd7 after structural relaxation.

Results
SG: No. 44

Unit cell a=6.1348 b=7.4049 c=7.4049 alpha=84.15 beta=65.53 gamma=65.53
Last column: nearest neighbours and their distance in Å.
Element x y z (fractional)
Sr (0.0042, 0.9958, 0.9958)  4 Pd 2.97-3.27
Tl (0.4857, 0.0393, 0.4710)  6 Pd 2.77-2.95, 1 Tl 2.95
Tl (0.0041, 0.0393, 0.4710)  6 Pd 2.77-2.95, 1 Tl 2.95
Tl (0.4857, 0.4710, 0.0393)  6 Pd 2.77-2.95, 1 Tl 2.95
Tl (0.0041, 0.4710, 0.0393)  6 Pd 2.77-2.95, 1 Tl 2.95
Tl (0.7054, 0.7946, 0.7946)  5 Pd 2.90-3.22
Pd (0.6460, 0.3540, 0.3540)  3 Pd 2.72-2.88, 4 Tl 2.82
Pd (0.3300, 0.6700, 0.6700)  3 Pd 2.81-2.88, 1 Sr 2.97
Pd (0.9768, 0.3696, 0.6768)  5 Tl 2.91-2.95, 3 Pd 3.05-3.18
Pd (0.9768, 0.6768, 0.3696)  5 Tl 2.91-2.95, 3 Pd 3.05-3.18
Pd (0.3872, 0.1128, 0.1128)  2 Pd 2.79, 5 Tl 2.90-2.91
Pd (0.4970, 0.7406, 0.2653)  3 Pd 2.72-2.81, 4 Tl 2.77
Pd (0.4970, 0.2653, 0.7406)  3 Pd 2.72-2.81, 4 Tl 2.77

***

Record 3
VASP calculation (PBE) on SrTl6Pd6 after structural relaxation.

Results
SG: No. 71

Unit cell a=5.7442 b=7.5007 c=7.5007 alpha=78.64 beta=67.49 gamma=67.49
Last column: nearest neighbours and their distance in Å.
Element x y z (fractional)
Sr (0.0000, 0.0000, 0.0000)  8 Tl 3.22-3.45
Tl (0.3418, 0.6582, 0.6582)  6 Pd 2.93-2.96, 1 Tl 3.19
Tl (0.6582, 0.3418, 0.3418)  6 Pd 2.93-2.96, 1 Tl 3.19
Tl (0.0000, 0.3384, 0.6616)  6 Pd 3.02-3.03, 1 Tl 3.07, 1 Sr 3.22
Tl (0.0000, 0.6616, 0.3384)  6 Pd 3.02-3.03, 1 Tl 3.07, 1 Sr 3.22
Tl (0.3231, 0.1769, 0.1769)  6 Pd 2.87-2.88
Tl (0.6769, 0.8231, 0.8231)  6 Pd 2.87-2.88
Pd (0.0000, 0.5000, 0.0000)  4 Pd 2.87-2.90, 6 Tl 2.87-3.02
Pd (0.5000, 0.5000, 0.0000)  4 Pd 2.87-2.90, 6 Tl 2.87-3.02
Pd (0.0000, 0.0000, 0.5000)  4 Pd 2.87-2.90, 6 Tl 2.87-3.02
Pd (0.5000, 0.0000, 0.5000)  4 Pd 2.87-2.90, 6 Tl 2.87-3.02
Pd (0.5000, 0.7628, 0.2372)  6 Tl 2.88-3.03, 4 Pd 2.90
Pd (0.5000, 0.2372, 0.7628)  6 Tl 2.88-3.03, 4 Pd 2.90

***

Record 4
VASP calculation (PBE) on SrTlPd3 after structural relaxation.

Results
SG: No. 221
Excess energy over the best structure of this formula in the dataset (meV per atom): 1092

Unit cell a=5.2579 b=5.2579 c=5.2579 alpha=90.00 beta=90.00 gamma=90.00
Last column: nearest neighbours and their distance in Å.
Element x y z (fractional)
Sr (0.0000, 0.0000, 0.0000)  6 Pd 2.63
Tl (0.5000, 0.5000, 0.5000)  12 Pd 3.72
Pd (0.0000, 0.5000, 0.0000)  2 Sr 2.63
Pd (0.0000, 0.0000, 0.5000)  2 Sr 2.63
Pd (0.5000, 0.0000, 0.0000)  2 Sr 2.63

***

Record 5
VASP calculation (PBE) on SrTlPd4 after structural relaxation.

Results
SG: No. 216

Unit cell a=5.5102 b=5.5102 c=5.5102 alpha=60.00 beta=60.00 gamma=60.00
Last column: nearest neighbours and their distance in Å.
Element x y z (fractional)
Sr (0.2500, 0.2500, 0.2500)  12 Pd 3.23, 4 Tl 3.37
Tl (0.0000, 0.0000, 0.0000)  12 Pd 3.23, 4 Sr 3.37
Pd (0.6255, 0.6255, 0.1236)  6 Pd 2.74-2.77
Pd (0.6255, 0.1236, 0.6255)  6 Pd 2.74-2.77
Pd (0.6255, 0.6255, 0.6255)  6 Pd 2.74-2.77
Pd (0.1236, 0.6255, 0.6255)  6 Pd 2.74-2.77

***

Record 6
VASP calculation (PBE) on SrTl4Pd4 after structural relaxation.

Results
SG: No. 86
Excess energy over the best structure of this formula in the dataset (meV per atom): 31

Unit cell a=5.5675 b=9.1613 c=9.1613 alpha=90.00 beta=90.00 gamma=90.00
Last column: nearest neighbours and their distance in Å.
Element x y z (fractional)
Sr (0.0000, 0.0000, 0.0000)  4 Pd 3.24
Sr (0.5000, 0.5000, 0.5000)  4 Pd 3.24
Tl (0.4048, 0.3492, 0.8816)  5 Pd 2.79-2.84
Tl (0.9048, 0.6184, 0.8492)  5 Pd 2.79-2.84
Tl (0.4048, 0.6508, 0.1184)  5 Pd 2.79-2.84
Tl (0.0952, 0.1508, 0.6184)  5 Pd 2.79-2.84
Tl (0.5952, 0.8816, 0.6508)  5 Pd 2.79-2.84
Tl (0.0952, 0.8492, 0.3816)  5 Pd 2.79-2.84
Tl (0.9048, 0.3816, 0.1508)  5 Pd 2.79-2.84
Tl (0.5952, 0.1184, 0.3492)  5 Pd 2.79-2.84
Pd (0.5940, 0.8136, 0.3479)  1 Pd 2.76, 5 Tl 2.79-2.84
Pd (0.5940, 0.1864, 0.6521)  1 Pd 2.76, 5 Tl 2.79-2.84
Pd (0.0940, 0.8479, 0.6864)  1 Pd 2.76, 5 Tl 2.79-2.84
Pd (0.9060, 0.3136, 0.8479)  1 Pd 2.76, 5 Tl 2.79-2.84
Pd (0.9060, 0.6864, 0.1521)  1 Pd 2.76, 5 Tl 2.79-2.84
Pd (0.4060, 0.3479, 0.1864)  1 Pd 2.76, 5 Tl 2.79-2.84
Pd (0.4060, 0.6521, 0.8136)  1 Pd 2.76, 5 Tl 2.79-2.84
Pd (0.0940, 0.1521, 0.3136)  1 Pd 2.76, 5 Tl 2.79-2.84

***

Record 7
VASP calculation (PBE) on SrTl4Pd2 after structural relaxation.

Results
SG: No. 62

Unit cell a=4.7523 b=7.6027 c=19.4116 alpha=90.00 beta=90.00 gamma=90.00
Last column: nearest neighbours and their distance in Å.
Element x y z (fractional)
Sr (0.7500, 0.9722, 0.6410)  9 Tl 3.37-3.73, 4 Pd 3.51-3.60
Sr (0.2500, 0.0278, 0.3590)  9 Tl 3.37-3.73, 4 Pd 3.51-3.60
Sr (0.2500, 0.4722, 0.8590)  9 Tl 3.37-3.73, 4 Pd 3.51-3.60
Sr (0.7500, 0.5278, 0.1410)  9 Tl 3.37-3.73, 4 Pd 3.51-3.60
Tl (0.2500, 0.2640, 0.6915)  3 Pd 2.85-2.88, 1 Tl 3.15
Tl (0.7500, 0.7360, 0.3085)  3 Pd 2.85-2.88, 1 Tl 3.15
Tl (0.7500, 0.7640, 0.8085)  3 Pd 2.85-2.88, 1 Tl 3.15
Tl (0.2500, 0.2360, 0.1915)  3 Pd 2.85-2.88, 1 Tl 3.15
Tl (0.2500, 0.6777, 0.6848)  4 Pd 2.85-2.95, 1 Tl 3.15
Tl (0.7500, 0.3223, 0.3152)  4 Pd 2.85-2.95, 1 Tl 3.15
Tl (0.7500, 0.1777, 0.8152)  4 Pd 2.85-2.95, 1 Tl 3.15
Tl (0.2500, 0.8223, 0.1848)  4 Pd 2.85-2.95, 1 Tl 3.15
Tl (0.2500, 0.1496, 0.5328)  3 Pd 2.87-3.04, 1 Tl 3.20
Tl (0.7500, 0.8504, 0.4672)  3 Pd 2.87-3.04, 1 Tl 3.20
Tl (0.7500, 0.6496, 0.9672)  3 Pd 2.87-3.04, 1 Tl 3.20
Tl (0.2500, 0.3504, 0.0328)  3 Pd 2.87-3.04, 1 Tl 3.20
Tl (0.2500, 0.5046, 0.4277)  4 Pd 2.87-3.12
Tl (0.7500, 0.4954, 0.5723)  4 Pd 2.87-3.12
Tl (0.7500, 0.0046, 0.0723)  4 Pd 2.87-3.12
Tl (0.2500, 0.9954, 0.9277)  4 Pd 2.87-3.12
Pd (0.2500, 0.7496, 0.5405)  7 Tl 2.85-3.12
Pd (0.7500, 0.2504, 0.4595)  7 Tl 2.85-3.12
Pd (0.7500, 0.2496, 0.9595)  7 Tl 2.85-3.12
Pd (0.2500, 0.7504, 0.0405)  7 Tl 2.85-3.12
Pd (0.2500, 0.9648, 0.7804)  7 Tl 2.85-2.95
Pd (0.7500, 0.0352, 0.2196)  7 Tl 2.85-2.95
Pd (0.7500, 0.4648, 0.7196)  7 Tl 2.85-2.95
Pd (0.2500, 0.5352, 0.2804)  7 Tl 2.85-2.95

***

Record 8
VASP calculation (PBE) on SrTl5Pd2 after structural relaxation.

Results
SG: No. 71

Unit cell a=4.2949 b=7.4845 c=7.4845 alpha=70.35 beta=73.33 gamma=73.33
Last column: nearest neighbours and their distance in Å.
Element x y z (fractional)
Sr (0.0000, 0.0000, 0.0000)  4 Pd 3.60, 8 Tl 3.73
Tl (0.0000, 0.5000, 0.5000)  2 Pd 2.83
Tl (0.6479, 0.5573, 0.1468)  3 Pd 2.81-3.01
Tl (0.3521, 0.4427, 0.8532)  3 Pd 2.81-3.01
Tl (0.3521, 0.8532, 0.4427)  3 Pd 2.81-3.01
Tl (0.6479, 0.1468, 0.5573)  3 Pd 2.81-3.01
Pd (0.7526, 0.7474, 0.7474)  7 Tl 2.81-3.01
Pd (0.2474, 0.2526, 0.2526)  7 Tl 2.81-3.01

***

Record 9
VASP calculation (PBE) on Sr2Tl2Pd15 after structural relaxation.

Results
SG: No. 166

Unit cell a=7.1243 b=7.1243 c=7.1243 alpha=82.49 beta=82.49 gamma=82.49
Last column: nearest neighbours and their distance in Å.
Element x y z (fractional)
Sr (0.3520, 0.3520, 0.3520)  15 Pd 3.28-3.64, 1 Tl 3.41
Sr (0.6480, 0.6480, 0.6480)  15 Pd 3.28-3.64, 1 Tl 3.41
Tl (0.1063, 0.1063, 0.1063)  6 Pd 2.84-2.91, 1 Tl 2.95
Tl (0.8937, 0.8937, 0.8937)  6 Pd 2.84-2.91, 1 Tl 2.95
Pd (0.5000, 0.0000, 0.0000)  8 Pd 2.72-2.73, 2 Tl 2.84
Pd (0.0000, 0.0000, 0.5000)  8 Pd 2.72-2.73, 2 Tl 2.84
Pd (0.0000, 0.5000, 0.0000)  8 Pd 2.72-2.73, 2 Tl 2.84
Pd (0.0000, 0.6981, 0.3019)  8 Pd 2.72-2.87
Pd (0.6981, 0.3019, 0.0000)  8 Pd 2.72-2.87
Pd (0.3019, 0.0000, 0.6981)  8 Pd 2.72-2.87
Pd (0.3019, 0.6981, 0.0000)  8 Pd 2.72-2.87
Pd (0.6981, 0.0000, 0.3019)  8 Pd 2.72-2.87
Pd (0.0000, 0.3019, 0.6981)  8 Pd 2.72-2.87
Pd (0.1573, 0.6531, 0.6531)  8 Pd 2.71-2.87, 1 Tl 2.91
Pd (0.6531, 0.6531, 0.1573)  8 Pd 2.71-2.87, 1 Tl 2.91
Pd (0.6531, 0.1573, 0.6531)  8 Pd 2.71-2.87, 1 Tl 2.91
Pd (0.8427, 0.3469, 0.3469)  8 Pd 2.71-2.87, 1 Tl 2.91
Pd (0.3469, 0.3469, 0.8427)  8 Pd 2.71-2.87, 1 Tl 2.91
Pd (0.3469, 0.8427, 0.3469)  8 Pd 2.71-2.87, 1 Tl 2.91

***

Record 10
VASP calculation (PBE) on Sr2TlPd6 after structural relaxation.

Results
SG: No. 12

Unit cell a=5.9120 b=5.8585 c=6.5410 alpha=78.16 beta=90.00 gamma=120.30
Last column: nearest neighbours and their distance in Å.
Element x y z (fractional)
Sr (0.6403, 0.2805, 0.1733)  6 Pd 3.09-3.12
Sr (0.3597, 0.7195, 0.8267)  6 Pd 3.09-3.12
Tl (0.0000, 0.0000, 0.0000)  6 Pd 2.71-2.76
Pd (0.8749, 0.2791, 0.6709)  1 Tl 2.76, 5 Pd 2.76-3.04, 1 Sr 3.09
Pd (0.8825, 0.7651, 0.6678)  1 Tl 2.71, 7 Pd 2.76-3.04
Pd (0.4043, 0.2791, 0.6709)  1 Tl 2.76, 5 Pd 2.76-3.04, 1 Sr 3.09
Pd (0.1251, 0.7209, 0.3291)  1 Tl 2.76, 5 Pd 2.76-3.04, 1 Sr 3.09
Pd (0.1175, 0.2349, 0.3322)  1 Tl 2.71, 7 Pd 2.76-3.04
Pd (0.5957, 0.7209, 0.3291)  1 Tl 2.76, 5 Pd 2.76-3.04, 1 Sr 3.09

***

Record 11
VASP calculation (PBE) on Sr3TlPd after structural relaxation.

Results
SG: No. 221
Excess energy over the best structure of this formula in the dataset (meV per atom): 103

Unit cell a=5.8932 b=5.8932 c=5.8932 alpha=90.00 beta=90.00 gamma=90.00
Last column: nearest neighbours and their distance in Å.
Element x y z (fractional)
Sr (0.0000, 0.5000, 0.0000)  2 Pd 2.95
Sr (0.0000, 0.0000, 0.5000)  2 Pd 2.95
Sr (0.5000, 0.0000, 0.0000)  2 Pd 2.95
Tl (0.5000, 0.5000, 0.5000)  12 Sr 4.17
Pd (0.0000, 0.0000, 0.0000)  6 Sr 2.95

***

Record 12
VASP calculation (PBE) on SrTl2Pd3 after structural relaxation.

Results
SG: No. 194

Unit cell a=4.7768 b=4.7768 c=13.2888 alpha=90.00 beta=90.00 gamma=120.00
Last column: nearest neighbours and their distance in Å.
Element x y z (fractional)
Sr (0.0000, 0.0000, 0.2500)  8 Pd 3.21-3.32, 6 Tl 3.50
Sr (0.0000, 0.0000, 0.7500)  8 Pd 3.21-3.32, 6 Tl 3.50
Tl (0.6667, 0.3333, 0.4125)  7 Pd 2.81-2.99
Tl (0.3333, 0.6667, 0.5875)  7 Pd 2.81-2.99
Tl (0.3333, 0.6667, 0.9125)  7 Pd 2.81-2.99
Tl (0.6667, 0.3333, 0.0875)  7 Pd 2.81-2.99
Pd (0.0000, 0.0000, 0.5000)  6 Tl 2.99, 6 Pd 3.23, 2 Sr 3.32
Pd (0.0000, 0.0000, 0.0000)  6 Tl 2.99, 6 Pd 3.23, 2 Sr 3.32
Pd (0.6667, 0.3333, 0.6265)  4 Tl 2.81-2.84
Pd (0.3333, 0.6667, 0.1265)  4 Tl 2.81-2.84
Pd (0.6667, 0.3333, 0.8735)  4 Tl 2.81-2.84
Pd (0.3333, 0.6667, 0.3735)  4 Tl 2.81-2.84

***

For each record above, in turn, the calculated V values are 358.81; 277.67; 275.31; 145.35; 118.30; 467.27; 701.36; 212.16; 353.04; 189.99; 204.67; 262.59 Å³ per cell.
For each record above, in turn, the calculated energy of formation values are -0.310; -0.123; -0.267; 0.703; -0.446; -0.208; -0.292; -0.203; -0.254; -0.448; -0.314; -0.383 eV per atom.